First-principles (PBE) data for crystalline LaNp2F11 at its relaxed geometry, as listed in the Alexandria database.

The structure in CIF format:
```
data_LaNp2F11
_chemical_formula_sum 'La2 Np4 F22'
_space_group_name_H-M_alt 'P 1'
_space_group_IT_number 1
_space_group_name_Hall 'P 1'
_cell_length_a 8.482
_cell_length_b 8.877
_cell_length_c 8.877
_cell_angle_alpha 72.66
_cell_angle_beta 61.46
_cell_angle_gamma 61.46
loop_
_atom_site_label
_atom_site_fract_x
_atom_site_fract_y
_atom_site_fract_z
Np1 0.851 0.181 0.819
F1 0.858 0.937 0.796
F2 0.642 0.704 0.563
Np2 0.649 0.681 0.319
F3 0.548 0.044 0.678
F4 0.770 0.456 0.822
F5 0.092 0.563 0.704
F6 0.000 0.000 0.000
F7 0.142 0.063 0.204
F8 0.230 0.544 0.178
F9 0.408 0.796 0.937
F10 0.358 0.296 0.437
F11 0.871 0.783 0.217
F12 0.730 0.678 0.044
F13 0.952 0.822 0.456
La1 0.750 0.750 0.750
F14 0.592 0.204 0.063
F15 0.629 0.283 0.717
La2 0.250 0.250 0.250
F16 0.129 0.217 0.783
Np3 0.149 0.819 0.181
Np4 0.351 0.319 0.681
F17 0.908 0.437 0.296
F18 0.270 0.322 0.956
F19 0.048 0.178 0.544
F20 0.500 0.500 0.500
F21 0.452 0.956 0.322
F22 0.371 0.717 0.283
```

Values from the calculation:
total energy = -205.510 eV for the cell shown
calculated volume = 513.66 Å³/cell
DOS at the Fermi energy = 0.919 states/eV/atom
space-group type = Ibam (72)